Here is crystalline Tm5Ga2Pd12 at its relaxed geometry from Alexandria. Energies are from PBE.

The structure belongs to space group C2/m (No. 12); the cell edges are 14.429, 7.095 and 7.218 Å and the angles 90.00°, 107.98° and 90.00°. The inequivalent atoms are Tm at (0.000, 0.000, 0.000), Tm at (0.200, 0.500, 0.726), Tm at (0.236, 0.500, 0.260), Ga at (0.000, 0.306, 0.500), Pd at (0.009, 0.500, 0.201), Pd at (0.065, 0.000, 0.674), Pd at (0.144, 0.197, 0.386) and Pd at (0.150, 0.234, 0.983).

As for the formation energy: -14.141 eV per formula unit.

***

Here is crystalline Tm3Ga4Pd4 at its relaxed geometry from Alexandria. Energies are from PBE.

The structure belongs to space group Immm (No. 71); the cell edges are 3.558, 4.442 and 26.362 Å and the angles 90.00°, 90.00° and 90.00°. The inequivalent atoms are Tm at (0.000, 0.000, 0.000), Tm at (0.000, 0.500, 0.142), Ga at (0.000, 0.000, 0.452), Ga at (0.000, 0.500, 0.309), Pd at (0.000, 0.000, 0.260) and Pd at (0.000, 0.500, 0.405).

The energy relative to the lowest polymorph listed for this composition comes out at 1.6 kJ/mol of atoms. As for the formation energy: -8.981 eV per formula unit.